No. 1
! Rb2SrLiI6, optimized geometry, DFT PBE-GGA; values from VASP
! Fermi-level density of states: 15.2 states/eV per cell
! symmetry: Fm-3m
! crystal system: cubic
! ΔE_f (raw): -12.4 eV/f.u.
&SYSTEM
  ibrav = 0, nat = 10, ntyp = 4
/
ATOMIC_SPECIES
I 126.90 I.upf
Sr 87.62 Sr.upf
Rb 85.47 Rb.upf
Li 6.94 Li.upf
CELL_PARAMETERS angstrom
8.676 0.000 0.000
0.000 8.676 0.000
4.338 4.338 6.139
ATOMIC_POSITIONS angstrom
I 6.402 6.402 0.000
I 6.402 2.274 0.000
Sr 0.000 0.000 0.000
Rb 4.338 8.676 3.069
I 2.274 6.402 0.000
Rb 8.676 4.338 3.069
I 4.338 4.338 2.922
Li 4.338 4.338 0.000
I 2.274 2.274 0.000
I 8.676 8.676 3.217

No. 2
! RbLiTb2I8, optimized geometry, DFT PBE-GGA; values from VASP
! Fermi-level density of states: 0.0 states/eV per cell
! symmetry: P-3
! crystal system: trigonal
! ΔE_f (raw): -15.7 eV/f.u.
&SYSTEM
  ibrav = 0, nat = 12, ntyp = 4
/
ATOMIC_SPECIES
I 126.90 I.upf
Li 6.94 Li.upf
Tb 158.93 Tb.upf
Rb 85.47 Rb.upf
CELL_PARAMETERS angstrom
7.919 0.000 0.000
-3.959 6.858 0.000
0.000 0.000 9.407
ATOMIC_POSITIONS angstrom
I -1.357 6.412 1.457
I 0.000 4.572 5.545
Li 0.000 0.000 0.000
I 5.316 0.446 7.950
Tb 3.959 2.286 0.882
Rb 0.000 0.000 4.704
I 2.272 4.827 1.457
I 1.687 2.031 7.950
I 4.875 4.381 7.950
Tb 0.000 4.572 8.525
I 3.959 2.286 3.863
I -0.915 2.477 1.457

No. 3
! RbLi2TbI6, optimized geometry, DFT PBE-GGA; values from VASP
! Fermi-level density of states: 0.0 states/eV per cell
! symmetry: P1
! crystal system: triclinic
! ΔE_f (raw): -13.0 eV/f.u.
&SYSTEM
  ibrav = 0, nat = 10, ntyp = 4
/
ATOMIC_SPECIES
I 126.90 I.upf
Li 6.94 Li.upf
Tb 158.93 Tb.upf
Rb 85.47 Rb.upf
CELL_PARAMETERS angstrom
-4.192 1.270 -6.640
1.495 -4.278 -6.523
-5.799 -5.976 -2.259
ATOMIC_POSITIONS angstrom
I -1.090 -4.961 -8.248
I -4.654 -7.259 -8.744
Li -4.026 -4.273 -7.810
I -3.415 -1.766 -6.161
Li -5.713 -5.898 -2.283
I -4.607 -5.709 -5.013
I -7.223 -4.303 -7.755
Tb -1.036 -1.139 -4.330
Rb -5.594 -5.945 -11.904
I -4.295 -2.743 -10.442

No. 4
! Rb2Li2TbI6, optimized geometry, DFT PBE-GGA; values from VASP
! Fermi-level density of states: 3.8 states/eV per cell
! symmetry: C2/m
! crystal system: monoclinic
! ΔE_f (raw): -13.2 eV/f.u.
&SYSTEM
  ibrav = 0, nat = 11, ntyp = 4
/
ATOMIC_SPECIES
I 126.90 I.upf
Li 6.94 Li.upf
Tb 158.93 Tb.upf
Rb 85.47 Rb.upf
CELL_PARAMETERS angstrom
8.688 0.000 0.000
-4.344 7.129 0.221
0.000 -3.867 7.844
ATOMIC_POSITIONS angstrom
I 2.140 5.515 1.873
I -2.140 5.515 1.873
I 6.484 -2.253 6.192
Li 4.344 3.443 5.896
I 4.344 1.038 4.834
Tb 4.344 -1.934 3.922
Li 0.000 -0.182 2.170
Rb 4.344 2.246 1.408
Rb 0.000 1.015 6.657
I 2.204 -2.253 6.192
I 0.000 2.224 3.231